No. 1
DyCl: relaxed, PBE.

a = 4.3798 Å, b = 4.3798 Å, c = 4.3798 Å
α = 60.00°, β = 60.00°, γ = 60.00°
Sites, in units of the cell vectors:
Dy (0.0000, 0.0000, 0.0000)
Cl (0.2500, 0.2500, 0.2500)

***

No. 2
Y4GaCoC2: relaxed, PBE.

a = 3.5727 Å, b = 3.5727 Å, c = 14.5501 Å
α = 90.00°, β = 90.00°, γ = 120.00°
Sites, in units of the cell vectors:
Y (0.0000, 0.0000, 0.1380)
Y (0.0000, 0.0000, 0.8620)
Y (0.3333, 0.6667, 0.3260)
Y (0.3333, 0.6667, 0.6740)
Ga (0.0000, 0.0000, 0.5000)
Co (0.3333, 0.6667, 0.0000)
C (0.6667, 0.3333, 0.2366)
C (0.6667, 0.3333, 0.7634)

***

| no. | VASP energy (eV/atom) |
| --- | --- |
| 1 | -4.08 |
| 2 | -6.96 |